No. 1
Below is a relaxed KMn3V crystal, with properties calculated at the PBE level. Values from VASP.

Summary:
- D(E_F): 0.62 states/eV/atom
- Size of the total moment: 8.98 μB per cell
- Formation energy: 1.001 eV/atom
- E above lowest polymorph: 0.000 eV/atom
- Space group: Pm-3m
- Uncorrected energy: -6.544 eV per atom

Cell and atoms, written as Quantum ESPRESSO input:
```
&SYSTEM
  ibrav = 0, nat = 5, ntyp = 3
/
ATOMIC_SPECIES
K 39.10 K.upf
Mn 54.94 Mn.upf
V 50.94 V.upf
CELL_PARAMETERS angstrom
-0.931 -1.783 4.383
3.572 -3.195 -0.541
3.104 3.142 1.938
ATOMIC_POSITIONS crystal
K 0.500 0.500 0.500
Mn 0.000 0.500 0.000
Mn 0.000 0.000 0.500
Mn 0.500 0.000 0.000
V 0.000 0.000 0.000
```


No. 2
Below is a relaxed KMn3V crystal, with properties calculated at the PBE level. Values from VASP.

Summary:
- D(E_F): 1.26 states/eV/atom
- Size of the total moment: 8.10 μB per cell
- Formation energy: 2.296 eV/atom
- E above lowest polymorph: 1.294 eV/atom
- Space group: Pm-3m
- Uncorrected energy: -5.249 eV per atom

Cell and atoms, written as Quantum ESPRESSO input:
```
&SYSTEM
  ibrav = 0, nat = 5, ntyp = 3
/
ATOMIC_SPECIES
K 39.10 K.upf
Mn 54.94 Mn.upf
V 50.94 V.upf
CELL_PARAMETERS angstrom
4.717 0.000 0.000
0.000 4.717 0.000
0.000 0.000 4.717
ATOMIC_POSITIONS crystal
K 0.000 0.000 0.000
Mn 0.000 0.500 0.000
Mn 0.000 0.000 0.500
Mn 0.500 0.000 0.000
V 0.500 0.500 0.500
```


No. 3
Below is a relaxed K2YMnV crystal, with properties calculated at the PBE level. Values from VASP.

Summary:
- D(E_F): 1.36 states/eV/atom
- Size of the total moment: 1.67 μB per cell
- Formation energy: 1.711 eV/atom
- Space group: P4/mmm
- Uncorrected energy: -3.679 eV per atom

Cell and atoms, written as Quantum ESPRESSO input:
```
&SYSTEM
  ibrav = 0, nat = 5, ntyp = 4
/
ATOMIC_SPECIES
Y 88.91 Y.upf
K 39.10 K.upf
Mn 54.94 Mn.upf
V 50.94 V.upf
CELL_PARAMETERS angstrom
6.548 0.000 0.000
0.000 4.663 0.000
0.000 0.000 6.548
ATOMIC_POSITIONS crystal
Y 0.000 0.000 0.000
K 0.000 0.000 0.500
K 0.500 0.000 0.000
Mn 0.000 0.500 0.000
V 0.500 0.500 0.500
```


No. 4
Below is a relaxed KMnW crystal, with properties calculated at the PBE level. Values from VASP.

Summary:
- D(E_F): 0.91 states/eV/atom
- Size of the total moment: 2.46 μB per cell
- Formation energy: 1.057 eV/atom
- E above lowest polymorph: 0.057 eV/atom
- Space group: Fmm2
- Uncorrected energy: -6.683 eV per atom

Cell and atoms, written as Quantum ESPRESSO input:
```
&SYSTEM
  ibrav = 0, nat = 3, ntyp = 3
/
ATOMIC_SPECIES
K 39.10 K.upf
Mn 54.94 Mn.upf
W 183.84 W.upf
CELL_PARAMETERS angstrom
-1.321 -7.695 -3.042
-1.939 -7.970 -0.274
-2.380 0.302 -1.538
ATOMIC_POSITIONS crystal
K 0.002 0.002 0.998
Mn 0.692 0.692 0.308
W 0.306 0.306 0.694
```


No. 5
Below is a relaxed KMnW crystal, with properties calculated at the PBE level. Values from VASP.

Summary:
- D(E_F): 0.54 states/eV/atom
- Size of the total moment: 3.04 μB per cell
- Formation energy: 1.634 eV/atom
- E above lowest polymorph: 0.634 eV/atom
- Space group: P3m1
- Uncorrected energy: -6.106 eV per atom

Cell and atoms, written as Quantum ESPRESSO input:
```
&SYSTEM
  ibrav = 0, nat = 3, ntyp = 3
/
ATOMIC_SPECIES
K 39.10 K.upf
Mn 54.94 Mn.upf
W 183.84 W.upf
CELL_PARAMETERS angstrom
-4.498 2.585 -0.439
0.045 -4.840 1.920
0.317 0.961 2.416
ATOMIC_POSITIONS crystal
K 0.000 0.000 0.056
Mn 0.667 0.333 0.250
W 0.333 0.667 0.694
```


No. 6
Below is a relaxed KMn4W crystal, with properties calculated at the PBE level. Values from VASP.

Summary:
- D(E_F): 1.50 states/eV/atom
- Size of the total moment: 2.89 μB per cell
- Formation energy: 1.063 eV/atom
- Space group: F-43m
- Uncorrected energy: -7.392 eV per atom

Cell and atoms, written as Quantum ESPRESSO input:
```
&SYSTEM
  ibrav = 0, nat = 6, ntyp = 3
/
ATOMIC_SPECIES
K 39.10 K.upf
Mn 54.94 Mn.upf
W 183.84 W.upf
CELL_PARAMETERS angstrom
4.322 1.230 2.037
0.463 4.281 2.408
0.495 0.028 4.909
ATOMIC_POSITIONS crystal
K 0.000 0.000 0.000
Mn 0.873 0.376 0.376
Mn 0.376 0.376 0.873
Mn 0.376 0.873 0.376
Mn 0.376 0.376 0.376
W 0.750 0.750 0.750
```


No. 7
Below is a relaxed KMn2W crystal, with properties calculated at the PBE level. Values from VASP.

Summary:
- D(E_F): 1.09 states/eV/atom
- Size of the total moment: 5.30 μB per cell
- Formation energy: 1.024 eV/atom
- E above lowest polymorph: 0.365 eV/atom
- Space group: Cm
- Uncorrected energy: -7.073 eV per atom

Cell and atoms, written as Quantum ESPRESSO input:
```
&SYSTEM
  ibrav = 0, nat = 4, ntyp = 3
/
ATOMIC_SPECIES
K 39.10 K.upf
Mn 54.94 Mn.upf
W 183.84 W.upf
CELL_PARAMETERS angstrom
-2.044 -3.464 -2.551
0.871 -4.005 -2.426
-1.012 -4.208 5.396
ATOMIC_POSITIONS crystal
K 0.255 0.255 0.239
Mn 0.020 0.020 0.892
Mn 0.746 0.746 0.732
W 0.479 0.479 0.637
```


No. 8
Below is a relaxed KMn2W crystal, with properties calculated at the PBE level. Values from VASP.

Summary:
- D(E_F): 2.21 states/eV/atom
- Size of the total moment: 0.00 μB per cell
- Formation energy: 1.711 eV/atom
- E above lowest polymorph: 1.052 eV/atom
- Space group: Fm-3m
- Uncorrected energy: -6.386 eV per atom

Cell and atoms, written as Quantum ESPRESSO input:
```
&SYSTEM
  ibrav = 0, nat = 4, ntyp = 3
/
ATOMIC_SPECIES
K 39.10 K.upf
Mn 54.94 Mn.upf
W 183.84 W.upf
CELL_PARAMETERS angstrom
0.000 3.148 3.148
3.148 0.000 3.148
3.148 3.148 0.000
ATOMIC_POSITIONS crystal
K 0.000 0.000 0.000
Mn 0.250 0.250 0.250
Mn 0.750 0.750 0.750
W 0.500 0.500 0.500
```


No. 9
Below is a relaxed KMn2W crystal, with properties calculated at the PBE level. Values from VASP.

Summary:
- D(E_F): 1.30 states/eV/atom
- Size of the total moment: 5.93 μB per cell
- Formation energy: 0.844 eV/atom
- E above lowest polymorph: 0.185 eV/atom
- Space group: Cmmm
- Uncorrected energy: -7.253 eV per atom

Cell and atoms, written as Quantum ESPRESSO input:
```
&SYSTEM
  ibrav = 0, nat = 4, ntyp = 3
/
ATOMIC_SPECIES
K 39.10 K.upf
Mn 54.94 Mn.upf
W 183.84 W.upf
CELL_PARAMETERS angstrom
-2.674 -0.885 0.282
1.132 -1.640 -2.010
2.906 -6.554 6.982
ATOMIC_POSITIONS crystal
K 0.500 0.500 0.750
Mn 0.000 0.000 0.058
Mn 0.000 0.000 0.442
W 0.500 0.500 0.250
```


No. 10
Below is a relaxed KMn2W crystal, with properties calculated at the PBE level. Values from VASP.

Summary:
- D(E_F): 1.19 states/eV/atom
- Size of the total moment: 5.09 μB per cell
- Formation energy: 1.361 eV/atom
- E above lowest polymorph: 0.701 eV/atom
- Space group: Immm
- Uncorrected energy: -6.737 eV per atom

Cell and atoms, written as Quantum ESPRESSO input:
```
&SYSTEM
  ibrav = 0, nat = 4, ntyp = 3
/
ATOMIC_SPECIES
K 39.10 K.upf
Mn 54.94 Mn.upf
W 183.84 W.upf
CELL_PARAMETERS angstrom
-2.051 -0.443 -5.716
1.754 -5.079 -2.863
-3.168 2.940 4.289
ATOMIC_POSITIONS crystal
K 0.250 0.750 0.500
Mn 0.946 0.946 0.000
Mn 0.554 0.554 0.000
W 0.750 0.250 0.500
```


No. 11
Below is a relaxed KMn2W crystal, with properties calculated at the PBE level. Values from VASP.

Summary:
- D(E_F): 1.08 states/eV/atom
- Size of the total moment: 5.97 μB per cell
- Formation energy: 1.618 eV/atom
- E above lowest polymorph: 0.958 eV/atom
- Space group: F-43m
- Uncorrected energy: -6.480 eV per atom

Cell and atoms, written as Quantum ESPRESSO input:
```
&SYSTEM
  ibrav = 0, nat = 4, ntyp = 3
/
ATOMIC_SPECIES
K 39.10 K.upf
Mn 54.94 Mn.upf
W 183.84 W.upf
CELL_PARAMETERS angstrom
-1.903 -4.285 -0.066
2.759 -3.791 0.040
0.200 -2.713 3.819
ATOMIC_POSITIONS crystal
K 0.500 0.500 0.500
Mn 0.000 0.000 0.000
Mn 0.250 0.250 0.250
W 0.750 0.750 0.750
```


No. 12
Below is a relaxed KMn3W crystal, with properties calculated at the PBE level. Values from VASP.

Summary:
- D(E_F): 0.73 states/eV/atom
- Size of the total moment: 9.97 μB per cell
- Formation energy: 1.234 eV/atom
- E above lowest polymorph: 0.000 eV/atom
- Space group: Pm-3m
- Uncorrected energy: -7.077 eV per atom

Cell and atoms, written as Quantum ESPRESSO input:
```
&SYSTEM
  ibrav = 0, nat = 5, ntyp = 3
/
ATOMIC_SPECIES
K 39.10 K.upf
Mn 54.94 Mn.upf
W 183.84 W.upf
CELL_PARAMETERS angstrom
4.945 0.000 0.000
0.000 4.945 0.000
0.000 0.000 4.945
ATOMIC_POSITIONS crystal
K 0.500 0.500 0.500
Mn 0.000 0.500 0.000
Mn 0.000 0.000 0.500
Mn 0.500 0.000 0.000
W 0.000 0.000 0.000
```


No. 13
Below is a relaxed KMn2W crystal, with properties calculated at the PBE level. Values from VASP.

Summary:
- D(E_F): 0.95 states/eV/atom
- Size of the total moment: 5.02 μB per cell
- Formation energy: 1.625 eV/atom
- E above lowest polymorph: 0.966 eV/atom
- Space group: I-4m2
- Uncorrected energy: -6.472 eV per atom

Cell and atoms, written as Quantum ESPRESSO input:
```
&SYSTEM
  ibrav = 0, nat = 4, ntyp = 3
/
ATOMIC_SPECIES
K 39.10 K.upf
Mn 54.94 Mn.upf
W 183.84 W.upf
CELL_PARAMETERS angstrom
-4.920 0.168 2.660
-1.897 -4.397 2.894
4.657 3.057 -0.527
ATOMIC_POSITIONS crystal
K 0.750 0.250 0.500
Mn 0.000 0.000 0.000
Mn 0.250 0.750 0.500
W 0.500 0.500 0.000
```


No. 14
Below is a relaxed KMnW4 crystal, with properties calculated at the PBE level. Values from VASP.

Summary:
- D(E_F): 1.12 states/eV/atom
- Size of the total moment: 2.64 μB per cell
- Formation energy: 1.244 eV/atom
- Space group: F-43m
- Uncorrected energy: -9.103 eV per atom

Cell and atoms, written as Quantum ESPRESSO input:
```
&SYSTEM
  ibrav = 0, nat = 6, ntyp = 3
/
ATOMIC_SPECIES
K 39.10 K.upf
Mn 54.94 Mn.upf
W 183.84 W.upf
CELL_PARAMETERS angstrom
0.000 3.848 3.848
3.848 0.000 3.848
3.848 3.848 0.000
ATOMIC_POSITIONS crystal
K 0.750 0.750 0.750
Mn 0.000 0.000 0.000
W 0.871 0.376 0.376
W 0.376 0.376 0.871
W 0.376 0.871 0.376
W 0.376 0.376 0.376
```


No. 15
Below is a relaxed KMnW crystal, with properties calculated at the PBE level. Values from VASP.

Summary:
- D(E_F): 1.39 states/eV/atom
- Size of the total moment: 9.58 μB per cell
- Formation energy: 3.095 eV/atom
- E above lowest polymorph: 2.095 eV/atom
- Space group: F-43m
- Uncorrected energy: -4.645 eV per atom

Cell and atoms, written as Quantum ESPRESSO input:
```
&SYSTEM
  ibrav = 0, nat = 3, ntyp = 3
/
ATOMIC_SPECIES
K 39.10 K.upf
Mn 54.94 Mn.upf
W 183.84 W.upf
CELL_PARAMETERS angstrom
-5.146 1.069 -0.747
-3.657 -2.233 3.133
-2.636 2.960 3.531
ATOMIC_POSITIONS crystal
K 0.750 0.750 0.750
Mn 0.000 0.000 0.000
W 0.500 0.500 0.500
```


No. 16
Below is a relaxed KMn2W crystal, with properties calculated at the PBE level. Values from VASP.

Summary:
- D(E_F): 1.04 states/eV/atom
- Size of the total moment: 0.69 μB per cell
- Formation energy: 0.882 eV/atom
- E above lowest polymorph: 0.223 eV/atom
- Space group: Pm
- Uncorrected energy: -7.215 eV per atom

Cell and atoms, written as Quantum ESPRESSO input:
```
&SYSTEM
  ibrav = 0, nat = 4, ntyp = 3
/
ATOMIC_SPECIES
K 39.10 K.upf
Mn 54.94 Mn.upf
W 183.84 W.upf
CELL_PARAMETERS angstrom
3.488 0.000 0.000
0.000 2.696 0.172
0.000 1.904 8.486
ATOMIC_POSITIONS crystal
K 0.500 0.693 0.767
Mn 0.000 0.890 0.110
Mn 0.500 0.290 0.221
W 0.000 0.627 0.402
```


No. 17
Below is a relaxed KMn2W crystal, with properties calculated at the PBE level. Values from VASP.

Summary:
- D(E_F): 1.16 states/eV/atom
- Size of the total moment: 6.44 μB per cell
- Formation energy: 1.231 eV/atom
- E above lowest polymorph: 0.572 eV/atom
- Space group: Cmmm
- Uncorrected energy: -6.866 eV per atom

Cell and atoms, written as Quantum ESPRESSO input:
```
&SYSTEM
  ibrav = 0, nat = 4, ntyp = 3
/
ATOMIC_SPECIES
K 39.10 K.upf
Mn 54.94 Mn.upf
W 183.84 W.upf
CELL_PARAMETERS angstrom
-3.217 -2.699 -2.984
3.995 -2.216 -2.382
-0.019 -2.012 1.846
ATOMIC_POSITIONS crystal
K 0.000 0.500 0.500
Mn 0.000 0.000 0.000
Mn 0.500 0.500 0.000
W 0.500 0.000 0.500
```


No. 18
Below is a relaxed K4MnW crystal, with properties calculated at the PBE level. Values from VASP.

Summary:
- D(E_F): 0.73 states/eV/atom
- Size of the total moment: 9.66 μB per cell
- Formation energy: 1.622 eV/atom
- Space group: F-43m
- Uncorrected energy: -2.797 eV per atom

Cell and atoms, written as Quantum ESPRESSO input:
```
&SYSTEM
  ibrav = 0, nat = 6, ntyp = 3
/
ATOMIC_SPECIES
K 39.10 K.upf
Mn 54.94 Mn.upf
W 183.84 W.upf
CELL_PARAMETERS angstrom
-2.293 -1.996 6.423
-0.211 4.708 5.319
-6.255 2.342 2.426
ATOMIC_POSITIONS crystal
K 0.877 0.374 0.374
K 0.374 0.374 0.877
K 0.374 0.877 0.374
K 0.374 0.374 0.374
Mn 0.750 0.750 0.750
W 0.000 0.000 0.000
```


No. 19
Below is a relaxed KMn2W crystal, with properties calculated at the PBE level. Values from VASP.

Summary:
- D(E_F): 1.02 states/eV/atom
- Size of the total moment: 5.74 μB per cell
- Formation energy: 1.616 eV/atom
- E above lowest polymorph: 0.957 eV/atom
- Space group: Pmmm
- Uncorrected energy: -6.481 eV per atom

Cell and atoms, written as Quantum ESPRESSO input:
```
&SYSTEM
  ibrav = 0, nat = 4, ntyp = 3
/
ATOMIC_SPECIES
K 39.10 K.upf
Mn 54.94 Mn.upf
W 183.84 W.upf
CELL_PARAMETERS angstrom
-1.880 0.150 -2.019
-3.504 -3.084 3.034
-1.845 4.085 2.021
ATOMIC_POSITIONS crystal
K 0.000 0.500 0.500
Mn 0.000 0.000 0.000
Mn 0.500 0.500 0.000
W 0.500 0.000 0.500
```


No. 20
Below is a relaxed KMn2W crystal, with properties calculated at the PBE level. Values from VASP.

Summary:
- D(E_F): 1.19 states/eV/atom
- Size of the total moment: 0.00 μB per cell
- Formation energy: 0.896 eV/atom
- E above lowest polymorph: 0.237 eV/atom
- Space group: P2/m
- Uncorrected energy: -7.201 eV per atom

Cell and atoms, written as Quantum ESPRESSO input:
```
&SYSTEM
  ibrav = 0, nat = 4, ntyp = 3
/
ATOMIC_SPECIES
K 39.10 K.upf
Mn 54.94 Mn.upf
W 183.84 W.upf
CELL_PARAMETERS angstrom
-2.543 2.619 1.545
-1.645 -2.084 0.825
3.717 -0.171 6.408
ATOMIC_POSITIONS crystal
K 0.500 0.750 0.750
Mn 0.000 0.741 0.117
Mn 0.000 0.759 0.383
W 0.500 0.250 0.250
```